VASP calculation (PBE) on a relaxed HfTaNi2 crystal.

a = 3.1092 Å, b = 3.1092 Å, c = 6.3633 Å
α = 90.00°, β = 90.00°, γ = 90.00°
Last column: nearest neighbours and their distance in Å.
Sites, in units of the cell vectors:
Ni 0.0000 0.0000 0.7782  4 Ta 2.61, 4 Hf 2.82, 1 Ni 2.82
Ni 0.0000 0.0000 0.2218  4 Ta 2.61, 4 Hf 2.82, 1 Ni 2.82
Hf 0.5000 0.5000 0.5000  8 Ni 2.82, 4 Hf 3.11
Ta 0.5000 0.5000 0.0000  8 Ni 2.61

Properties
DFT formation energy (eV per atom): -0.255
Space-group type: P4/mmm
E (eV/atom): -8.597
Volume (Å³ per cell): 61.5
Total moment (μB/f.u.): 0.0
Distance to the lowest polymorph of the same formula (eV per atom): 0.0386

VASP calculation (PBE) on a relaxed SrMn2Sb crystal.

a = 4.4050 Å, b = 4.4050 Å, c = 6.1869 Å
α = 68.42°, β = 68.42°, γ = 58.35°
Last column: nearest neighbours and their distance in Å.
Sites, in units of the cell vectors:
Mn 0.0682 0.0682 0.7774  3 Mn 2.48-2.67, 3 Sb 2.52-2.53
Mn 0.4318 0.4318 0.7226  3 Mn 2.48-2.67, 3 Sb 2.52-2.53
Sb 0.7500 0.7500 0.7500  6 Mn 2.52-2.53
Sr 0.2500 0.2500 0.2500  2 Mn 2.96

Properties
Space-group type: C2/m
E (eV/atom): -5.841
Volume (Å³ per cell): 92.7
Energy relative to the elements, uncorrected (meV/atom): 195
Total moment (μB/f.u.): 0.5

VASP calculation (PBE) on a relaxed Ac2Tb3PmY6 crystal.

a = 6.3414 Å, b = 6.3414 Å, c = 11.9546 Å
α = 95.06°, β = 95.06°, γ = 119.98°
Last column: nearest neighbours and their distance in Å.
Sites, in units of the cell vectors:
Ac 0.3333 0.6667 0.0000  3 Pm 3.66, 3 Ac 3.66, 6 Y 3.69
Ac 0.6667 0.3333 0.0000  3 Pm 3.66, 3 Ac 3.66, 6 Y 3.69
Tb 0.1666 0.8334 0.5000  6 Y 3.55-3.56, 6 Tb 3.66
Tb 0.8334 0.1666 0.5000  6 Y 3.55-3.56, 6 Tb 3.66
Tb 0.5000 0.5000 0.5000  6 Y 3.55-3.56, 6 Tb 3.66
Pm 0.0000 0.0000 0.0000  6 Ac 3.66, 6 Y 3.68
Y 0.9141 0.5828 0.7429  3 Tb 3.55-3.56, 6 Y 3.64-3.67, 1 Pm 3.68, 2 Ac 3.69
Y 0.7547 0.7547 0.2570  3 Tb 3.55-3.56, 6 Y 3.64-3.67, 1 Pm 3.68, 2 Ac 3.69
Y 0.0859 0.4172 0.2571  3 Tb 3.55-3.56, 6 Y 3.64-3.67, 1 Pm 3.68, 2 Ac 3.69
Y 0.5828 0.9141 0.7429  3 Tb 3.55-3.56, 6 Y 3.64-3.67, 1 Pm 3.68, 2 Ac 3.69
Y 0.2453 0.2453 0.7430  3 Tb 3.55-3.56, 6 Y 3.64-3.67, 1 Pm 3.68, 2 Ac 3.69
Y 0.4172 0.0859 0.2571  3 Tb 3.55-3.56, 6 Y 3.64-3.67, 1 Pm 3.68, 2 Ac 3.69

Properties
DFT formation energy (eV per atom): 0.038
Space-group type: C2/m
E (eV/atom): -5.432
Volume (Å³ per cell): 409.9
Total moment (μB/f.u.): 0.0

VASP calculation (PBE) on a relaxed Ge2RuWI crystal.

a = 4.7054 Å, b = 5.1893 Å, c = 4.7054 Å
α = 90.00°, β = 90.00°, γ = 90.00°
Last column: nearest neighbours and their distance in Å.
Sites, in units of the cell vectors:
I 0.5000 0.5000 0.5000  4 W 3.33, 8 Ge 3.50
Ru 0.0000 0.0000 0.0000  4 Ge 2.35, 2 W 2.59
Ge 0.0000 0.0000 0.5000  2 Ru 2.35
Ge 0.5000 0.0000 0.0000  2 Ru 2.35
W 0.0000 0.5000 0.0000  2 Ru 2.59

Properties
Space-group type: P4/mmm
E (eV/atom): -5.687
Volume (Å³ per cell): 114.9
Energy relative to the elements, uncorrected (meV/atom): 916
Total moment (μB/f.u.): 2.4

VASP calculation (PBE) on a relaxed Ti2CdTe crystal.

a = 4.7931 Å, b = 4.7931 Å, c = 4.7931 Å
α = 60.00°, β = 60.00°, γ = 60.00°
Last column: nearest neighbours and their distance in Å.
Sites, in units of the cell vectors:
Te 0.5000 0.5000 0.5000  8 Ti 2.94
Ti 0.2500 0.2500 0.2500  4 Cd 2.94, 4 Te 2.94
Ti 0.7500 0.7500 0.7500  4 Cd 2.94, 4 Te 2.94
Cd 0.0000 0.0000 0.0000  8 Ti 2.94

Properties
Space-group type: Fm-3m
E (eV/atom): -4.943
Volume (Å³ per cell): 77.9
Energy relative to the elements, uncorrected (meV/atom): 19
Total moment (μB/f.u.): 0.0
Distance to the lowest polymorph of the same formula (eV per atom): 0.0000

VASP calculation (PBE) on a relaxed SrTl3Ag crystal.

a = 4.7675 Å, b = 9.9197 Å, c = 12.4330 Å
α = 90.00°, β = 90.00°, γ = 90.00°
Last column: nearest neighbours and their distance in Å.
Sites, in units of the cell vectors:
Sr 0.7500 0.7979 0.9980  2 Ag 3.49, 7 Tl 3.52-3.84
Sr 0.2500 0.7021 0.4980  2 Ag 3.49, 7 Tl 3.52-3.84
Sr 0.7500 0.2979 0.5020  2 Ag 3.49, 7 Tl 3.52-3.84
Sr 0.2500 0.2021 0.0020  2 Ag 3.49, 7 Tl 3.52-3.84
Tl 0.2500 0.5692 0.0993  3 Ag 2.99-3.00, 2 Tl 3.21
Tl 0.7500 0.4308 0.9007  3 Ag 2.99-3.00, 2 Tl 3.21
Tl 0.2500 0.0692 0.4007  3 Ag 2.99-3.00, 2 Tl 3.21
Tl 0.7500 0.9308 0.5993  3 Ag 2.99-3.00, 2 Tl 3.21
Tl 0.2500 0.3902 0.6970  2 Ag 2.90-2.96
Tl 0.7500 0.1098 0.1970  2 Ag 2.90-2.96
Tl 0.2500 0.8902 0.8030  2 Ag 2.90-2.96
Tl 0.7500 0.6318 0.6984  2 Ag 3.13, 4 Tl 3.21-3.38
Tl 0.2500 0.3682 0.3016  2 Ag 3.13, 4 Tl 3.21-3.38
Tl 0.7500 0.1318 0.8016  2 Ag 3.13, 4 Tl 3.21-3.38
Tl 0.7500 0.6098 0.3030  2 Ag 2.90-2.96
Tl 0.2500 0.8682 0.1984  2 Ag 3.13, 4 Tl 3.21-3.38
Ag 0.2500 0.1069 0.6391  7 Tl 2.90-3.13
Ag 0.2500 0.6069 0.8609  7 Tl 2.90-3.13
Ag 0.7500 0.3931 0.1391  7 Tl 2.90-3.13
Ag 0.7500 0.8931 0.3609  7 Tl 2.90-3.13

Properties
DFT formation energy (eV per atom): -0.167
Space-group type: Pnma
E (eV/atom): -2.493
Volume (Å³ per cell): 588.0
Total moment (μB/f.u.): 0.0
Distance to the lowest polymorph of the same formula (eV per atom): 0.0000

VASP calculation (PBE) on a relaxed TiAgCl2 crystal.

a = 7.5811 Å, b = 7.5811 Å, c = 6.1895 Å
α = 52.24°, β = 52.24°, γ = 90.00°
Last column: nearest neighbours and their distance in Å.
Sites, in units of the cell vectors:
Cl 0.5382 0.1250 0.2500  2 Ti 2.39
Cl 0.2118 0.6250 0.2500  2 Ti 2.39
Cl 0.3750 0.4618 0.7500  2 Ti 2.39
Cl 0.8750 0.7882 0.7500  2 Ti 2.39
Ag 0.0000 0.0000 0.0000  2 Ti 3.09, 8 Cl 3.24-3.27
Ag 0.7500 0.2500 0.5000  2 Ti 3.09, 8 Cl 3.24-3.27
Ti 0.5000 0.5000 0.0000  4 Cl 2.39
Ti 0.2500 0.7500 0.5000  4 Cl 2.39

Properties
Space-group type: I-42d
E (eV/atom): -4.035
Volume (Å³ per cell): 177.8
Energy relative to the elements, uncorrected (meV/atom): -426
Total moment (μB/f.u.): 1.2
Distance to the lowest polymorph of the same formula (eV per atom): 0.4108

VASP calculation (PBE) on a relaxed NaHgN crystal.

a = 3.6359 Å, b = 3.6252 Å, c = 11.7726 Å
α = 86.55°, β = 80.88°, γ = 90.02°
Last column: nearest neighbours and their distance in Å.
Sites, in units of the cell vectors:
Na 0.8268 0.3102 0.7081  8 Hg 3.23-3.28
Na 0.0035 0.3772 0.3615  2 N 2.60-2.61
Hg 0.4131 0.8432 0.5392  8 Na 3.23-3.30
Hg 0.2368 0.7756 0.8845  4 Na 3.28, 4 Hg 3.63-3.64
N 0.4664 0.0160 0.2185  1 N 1.14
N 0.6889 0.7947 0.2173  1 N 1.14

Properties
Space-group type: P1
E (eV/atom): -3.379
Volume (Å³ per cell): 152.9
Energy relative to the elements, uncorrected (meV/atom): -63
Total moment (μB/f.u.): 0.0

VASP calculation (PBE) on a relaxed CoNiSn4 crystal.

a = 4.4204 Å, b = 4.4205 Å, c = 6.2357 Å
α = 89.99°, β = 90.00°, γ = 90.00°
Last column: nearest neighbours and their distance in Å.
Sites, in units of the cell vectors:
Co 0.0013 0.9973 0.4981  8 Sn 2.70
Ni 0.5013 0.4973 0.9981  8 Sn 2.71
Sn 0.5012 0.9971 0.2505  2 Co 2.70, 2 Ni 2.71
Sn 0.5014 0.9975 0.7457  2 Co 2.70, 2 Ni 2.71
Sn 0.0014 0.4974 0.7457  2 Co 2.70, 2 Ni 2.71
Sn 0.0012 0.4971 0.2506  2 Co 2.70, 2 Ni 2.71

Properties
DFT formation energy (eV per atom): -0.131
Space-group type: P4/mmm
E (eV/atom): -4.947
Volume (Å³ per cell): 121.8
Total moment (μB/f.u.): 0.0
Distance to the lowest polymorph of the same formula (eV per atom): 0.0000

VASP calculation (PBE) on a relaxed AsRu3 crystal.

a = 4.5398 Å, b = 4.5398 Å, c = 2.8270 Å
α = 90.00°, β = 90.00°, γ = 101.57°
Last column: nearest neighbours and their distance in Å.
Sites, in units of the cell vectors:
Ru 0.0000 0.5000 0.5000  4 As 2.67, 8 Ru 2.67-2.87
Ru 0.5000 0.0000 0.5000  8 Ru 2.67-2.87, 4 As 2.67
Ru 0.5000 0.5000 0.0000  10 Ru 2.67-2.83, 2 As 2.87
As 0.0000 0.0000 0.0000  10 Ru 2.67-2.87, 2 As 2.83

Properties
DFT formation energy (eV per atom): 0.212
Space-group type: Cmmm
E (eV/atom): -7.907
Volume (Å³ per cell): 57.1
Total moment (μB/f.u.): 0.0
Distance to the lowest polymorph of the same formula (eV per atom): 0.1476